# Ca4ZnIn, relaxed, DFT PBE
# offset from the most stable computed form	551.2	meV/atom
# density of states at the Fermi level	8.1	states/eV/f.u.
# formation enthalpy at 0 K	0.316	eV/atom
# total DFT energy (no corrections)	-1.69	eV per atom
data_Ca4ZnIn
_chemical_formula_sum 'Ca16 Zn4 In4'
_space_group_name_H-M_alt 'F -4 3 m'
_space_group_IT_number 216
_space_group_name_Hall 'F -4 2 3'
_cell_length_a 9.503
_cell_length_b 9.503
_cell_length_c 9.503
_cell_angle_alpha 90.00
_cell_angle_beta 90.00
_cell_angle_gamma 90.00
loop_
_atom_site_label
_atom_site_fract_x
_atom_site_fract_y
_atom_site_fract_z
Ca1 0.125 0.125 0.125
Zn1 0.000 0.000 0.500
In1 0.250 0.250 0.750

---

# La2CeHfN4, relaxed, DFT PBE
# density of states at the Fermi level	3.6	states/eV/f.u.
# formation energy (no corrections)	-1492	meV/atom
# total DFT energy (no corrections)	-8.87	eV per atom
data_La2CeHfN4
_chemical_formula_sum 'La2 Ce1 Hf1 N4'
_space_group_name_H-M_alt 'P 1 2/m 1'
_space_group_IT_number 10
_cell_length_a 6.086
_cell_length_b 3.495
_cell_length_c 6.239
_cell_angle_alpha 90.00
_cell_angle_beta 108.68
_cell_angle_gamma 90.00
loop_
_space_group_symop_operation_xyz
'x,y,z'
'-x,-y,-z'
'-x,y,-z'
'x,-y,z'
loop_
_atom_site_label
_atom_site_fract_x
_atom_site_fract_y
_atom_site_fract_z
La1 0.000 0.000 0.000
La2 0.500 0.500 0.000
Ce1 0.000 0.500 0.500
Hf1 0.500 0.000 0.500
N1 0.260 0.000 0.712
N2 0.278 0.500 0.290

---

Q: Among the records above, which one has the highest density of states at the Fermi level?
A: Ca4ZnIn

---

Q: Which value of density of states at the Fermi level does entry 1 give?
A: 8.1 states/eV/f.u.

---

Q: Which formula does entry 2 have?
A: La2CeHfN4

---

Q: Look up the total DFT energy (no corrections) of the first one.
A: -1.69 eV per atom